# OsCl, optimized geometry, DFT GGA-PBE
# formation energy without anion corrections = 1662 meV per atom
# offset from the most stable computed form = 1.5382 eV/atom
# N(E_F) = 1.245 states/eV per atom
# volume = 17.50 Å³ per atom
data_OsCl
_symmetry_space_group_name_H-M 'P 1'
_symmetry_Int_Tables_number 1
_symmetry_space_group_name_Hall 'P 1'
_cell_length_a 4.772
_cell_length_b 4.772
_cell_length_c 7.100
_cell_angle_alpha 90.00
_cell_angle_beta 90.00
_cell_angle_gamma 120.00
loop_
_atom_site_label
_atom_site_type_symbol
_atom_site_fract_x
_atom_site_fract_y
_atom_site_fract_z
Os1 Os 0.333 0.667 0.075
Os2 Os 0.667 0.333 0.575
Os3 Os 0.667 0.333 0.925
Os4 Os 0.333 0.667 0.425
Cl1 Cl 0.000 0.000 0.250
Cl2 Cl 0.000 0.000 0.750
Cl3 Cl 0.333 0.667 0.750
Cl4 Cl 0.667 0.333 0.250